Compound: Tl2ZnNi
Source: the Alexandria database
Functional: PBE
Structure: relaxed

Unit cell a=6.7333 b=6.7333 c=6.7333 alpha=153.25 beta=141.46 gamma=47.53
Fractional positions:
Tl 0.0000 0.0000 0.0000
Tl 0.7059 0.2059 0.5000
Zn 0.3280 0.8280 0.5000
Ni 0.4873 0.4873 0.0000

## Properties
The calculation puts the polymorph energy (0 for the lowest one) at 61 meV/atom. As for the calculated total energy: -11.01 eV/cell. Its formation enthalpy at 0 K is 0.19 eV/atom. As for the volume: 85.3 Å³/cell.